## w
The following is a DFT calculation (PBE) of a geometry-optimized Cr2Pt2Pb structure.

Structure (POSCAR):
```
Cr2Pt2Pb
1.0
3.4499 0.0000 0.0000
0.0000 3.4499 0.0000
0.0000 0.0000 14.1607
Cr Pt Pb
4 4 2
direct
0.0000 0.5000 0.2500 Cr
0.0000 0.5000 0.7500 Cr
0.5000 0.0000 0.2500 Cr
0.5000 0.0000 0.7500 Cr
0.0000 0.0000 0.1126 Pt
0.0000 0.0000 0.8874 Pt
0.5000 0.5000 0.3874 Pt
0.5000 0.5000 0.6126 Pt
0.0000 0.0000 0.5000 Pb
0.5000 0.5000 0.0000 Pb
```

Summary:
Density of states at the Fermi level ... 9.913 states/eV per cell
M_tot ... 0.000 μB per formula unit

## x
The following is a DFT calculation (PBE) of a geometry-optimized Cr2Pt2Pb structure.

Structure (POSCAR):
```
Cr2Pt2Pb
1.0
7.6611 0.0000 0.0000
0.0000 7.6611 0.0000
0.0000 0.0000 2.9640
Cr Pt Pb
4 4 2
direct
0.1627 0.3373 0.0000 Cr
0.3373 0.8373 0.0000 Cr
0.6627 0.1627 0.0000 Cr
0.8373 0.6627 0.0000 Cr
0.1311 0.6311 0.5000 Pt
0.3689 0.1311 0.5000 Pt
0.6311 0.8689 0.5000 Pt
0.8689 0.3689 0.5000 Pt
0.0000 0.0000 0.5000 Pb
0.5000 0.5000 0.5000 Pb
```

Summary:
Density of states at the Fermi level ... 10.551 states/eV per cell
M_tot ... 6.209 μB per formula unit

Stability check: which of them is least stable? w.

## w
The following is a DFT calculation (PBE) of a geometry-optimized CrPt3Pb structure.

Structure (POSCAR):
```
CrPt3Pb
1.0
4.6959 0.0000 0.0000
0.0000 4.6959 0.0000
0.0000 0.0000 4.6959
Cr Pt Pb
1 3 1
direct
0.0000 0.0000 0.0000 Cr
0.0000 0.0000 0.5000 Pt
0.0000 0.5000 0.0000 Pt
0.5000 0.0000 0.0000 Pt
0.5000 0.5000 0.5000 Pb
```

Summary:
Density of states at the Fermi level ... 4.541 states/eV per cell
M_tot ... 0.000 μB per formula unit

## x
The following is a DFT calculation (PBE) of a geometry-optimized CrPt3Pb structure.

Structure (POSCAR):
```
CrPt3Pb
1.0
5.0073 0.0000 0.0000
0.0000 5.0073 0.0000
0.0000 0.0000 5.0073
Cr Pt Pb
1 3 1
direct
0.0000 0.0000 0.0000 Cr
0.0000 0.5000 0.5000 Pt
0.5000 0.0000 0.5000 Pt
0.5000 0.5000 0.0000 Pt
0.5000 0.5000 0.5000 Pb
```

Summary:
Density of states at the Fermi level ... 8.798 states/eV per cell
M_tot ... 0.838 μB per formula unit

Stability check: which of them is least stable? x.

## w
The following is a DFT calculation (PBE) of a geometry-optimized RbCrPb2 structure.

Structure (POSCAR):
```
RbCrPb2
1.0
6.3566 0.0000 0.0000
0.0000 6.3566 0.0000
0.0000 0.0000 17.3137
Rb Cr Pb
4 4 8
direct
0.0000 0.2500 0.3750 Rb
0.0000 0.7500 0.6250 Rb
0.5000 0.2500 0.1250 Rb
0.5000 0.7500 0.8750 Rb
0.0000 0.2500 0.8750 Cr
0.0000 0.7500 0.1250 Cr
0.5000 0.2500 0.6250 Cr
0.5000 0.7500 0.3750 Cr
0.0000 0.0000 0.0000 Pb
0.0000 0.5000 0.0000 Pb
0.2500 0.2500 0.7500 Pb
0.2500 0.7500 0.2500 Pb
0.5000 0.0000 0.5000 Pb
0.5000 0.5000 0.5000 Pb
0.7500 0.2500 0.7500 Pb
0.7500 0.7500 0.2500 Pb
```

Summary:
Density of states at the Fermi level ... 7.113 states/eV per cell
M_tot ... 2.790 μB per formula unit

## x
The following is a DFT calculation (PBE) of a geometry-optimized RbCrPb2 structure.

Structure (POSCAR):
```
RbCrPb2
1.0
7.8178 0.0000 0.0000
0.0000 7.8178 0.0000
0.0000 0.0000 7.8178
Rb Cr Pb
4 4 8
direct
0.0000 0.0000 0.0000 Rb
0.0000 0.5000 0.5000 Rb
0.5000 0.0000 0.5000 Rb
0.5000 0.5000 0.0000 Rb
0.0000 0.0000 0.5000 Cr
0.0000 0.5000 0.0000 Cr
0.5000 0.0000 0.0000 Cr
0.5000 0.5000 0.5000 Cr
0.2500 0.2500 0.2500 Pb
0.2500 0.2500 0.7500 Pb
0.2500 0.7500 0.2500 Pb
0.2500 0.7500 0.7500 Pb
0.7500 0.2500 0.2500 Pb
0.7500 0.2500 0.7500 Pb
0.7500 0.7500 0.2500 Pb
0.7500 0.7500 0.7500 Pb
```

Summary:
Density of states at the Fermi level ... 9.627 states/eV per cell
M_tot ... 4.722 μB per formula unit

Stability check: which of them is least stable? x.

## w
The following is a DFT calculation (PBE) of a geometry-optimized RbCr3Pb structure.

Structure (POSCAR):
```
RbCr3Pb
1.0
5.5362 0.0000 0.0000
0.0000 5.5362 0.0000
0.0000 0.0000 5.5362
Rb Cr Pb
1 3 1
direct
0.0000 0.0000 0.0000 Rb
0.0000 0.5000 0.5000 Cr
0.5000 0.0000 0.5000 Cr
0.5000 0.5000 0.0000 Cr
0.5000 0.5000 0.5000 Pb
```

Summary:
Density of states at the Fermi level ... 1.961 states/eV per cell
M_tot ... 14.667 μB per formula unit

## x
The following is a DFT calculation (PBE) of a geometry-optimized RbCr3Pb structure.

Structure (POSCAR):
```
RbCr3Pb
1.0
5.5585 0.0000 0.0000
0.0000 5.5585 0.0000
0.0000 0.0000 5.5585
Rb Cr Pb
1 3 1
direct
0.0000 0.0000 0.0000 Rb
0.0000 0.0000 0.5000 Cr
0.0000 0.5000 0.0000 Cr
0.5000 0.0000 0.0000 Cr
0.5000 0.5000 0.5000 Pb
```

Summary:
Density of states at the Fermi level ... 1.860 states/eV per cell
M_tot ... 14.937 μB per formula unit

Stability check: which of them is least stable? x.

## w
The following is a DFT calculation (PBE) of a geometry-optimized Rb2VCrPb structure.

Structure (POSCAR):
```
Rb2VCrPb
1.0
6.8714 0.0000 0.0000
0.0000 6.8714 0.0000
0.0000 0.0000 5.3643
Rb V Cr Pb
2 1 1 1
direct
0.0000 0.5000 0.0000 Rb
0.5000 0.0000 0.0000 Rb
0.0000 0.0000 0.5000 V
0.5000 0.5000 0.5000 Cr
0.0000 0.0000 0.0000 Pb
```

Summary:
Density of states at the Fermi level ... 7.492 states/eV per cell
M_tot ... 8.783 μB per formula unit

## x
The following is a DFT calculation (PBE) of a geometry-optimized Rb2VCrPb structure.

Structure (POSCAR):
```
Rb2VCrPb
1.0
6.5795 0.0000 0.0000
0.0000 6.5795 0.0000
0.0000 0.0000 5.3970
Rb V Cr Pb
2 1 1 1
direct
0.0000 0.5000 0.0000 Rb
0.5000 0.0000 0.0000 Rb
0.0000 0.0000 0.0000 V
0.5000 0.5000 0.5000 Cr
0.0000 0.0000 0.5000 Pb
```

Summary:
Density of states at the Fermi level ... 5.883 states/eV per cell
M_tot ... 1.659 μB per formula unit

Stability check: which of them is least stable? w.

## w
The following is a DFT calculation (PBE) of a geometry-optimized CrRhPb2 structure.

Structure (POSCAR):
```
CrRhPb2
1.0
3.2814 0.0000 0.0000
0.0000 3.2814 0.0000
0.0000 0.0000 8.1941
Cr Rh Pb
1 1 2
direct
0.0000 0.0000 0.0000 Cr
0.5000 0.5000 0.8567 Rh
0.0000 0.0000 0.6175 Pb
0.5000 0.5000 0.2412 Pb
```

Summary:
Density of states at the Fermi level ... 3.461 states/eV per cell
M_tot ... 3.278 μB per formula unit

## x
The following is a DFT calculation (PBE) of a geometry-optimized CrRhPb2 structure.

Structure (POSCAR):
```
CrRhPb2
1.0
6.6124 0.0000 0.0000
0.0000 6.7607 0.0000
-0.0176 0.0000 3.6167
Cr Rh Pb
2 2 4
direct
0.0000 0.0000 0.0000 Cr
0.5000 0.5000 0.0000 Cr
0.0000 0.5000 0.0000 Rh
0.5000 0.0000 0.0000 Rh
0.2500 0.2500 0.5000 Pb
0.2500 0.7500 0.5000 Pb
0.7500 0.2500 0.5000 Pb
0.7500 0.7500 0.5000 Pb
```

Summary:
Density of states at the Fermi level ... 8.219 states/eV per cell
M_tot ... 3.483 μB per formula unit

Stability check: which of them is least stable? x.